Record 1
The following is a DFT calculation (PBE) of RbTl5Sn after structural relaxation.

**Energy of formation from the pure elements**: -0.026 eV/atom
**Density of states at the Fermi level**: 3.51 states/eV per cell

abc: 4.9530 4.9530 10.6286
angles: 90.00 90.00 90.00
Last column: nearest neighbours and their distance in Å.
Element x y z (fractional)
Rb 0.0000 0.0000 0.0000  8 Tl 3.90
Tl 0.0000 0.0000 0.5000  8 Tl 3.38, 4 Sn 3.50
Tl 0.0000 0.5000 0.2835  6 Tl 3.38-3.50, 2 Sn 3.38
Tl 0.0000 0.5000 0.7165  6 Tl 3.38-3.50, 2 Sn 3.38
Tl 0.5000 0.0000 0.2835  6 Tl 3.38-3.50, 2 Sn 3.38
Tl 0.5000 0.0000 0.7165  6 Tl 3.38-3.50, 2 Sn 3.38
Sn 0.5000 0.5000 0.5000  12 Tl 3.38-3.50

=====

Record 2
The following is a DFT calculation (PBE) of LiHfTl2 after structural relaxation.

**Energy of formation from the pure elements**: -0.023 eV/atom
**Density of states at the Fermi level**: 2.38 states/eV per cell

abc: 3.3340 3.3340 7.6413
angles: 90.00 90.00 90.00
Last column: nearest neighbours and their distance in Å.
Element x y z (fractional)
Li 0.0000 0.0000 0.0000  8 Tl 2.94
Hf 0.0000 0.0000 0.5000  8 Tl 3.14, 4 Hf 3.33
Tl 0.5000 0.5000 0.2291  4 Li 2.94, 4 Hf 3.14
Tl 0.5000 0.5000 0.7709  4 Li 2.94, 4 Hf 3.14

=====

Record 3
The following is a DFT calculation (PBE) of AcPuBi2 after structural relaxation.

**Energy of formation from the pure elements**: -0.524 eV/atom
**Density of states at the Fermi level**: 13.78 states/eV per cell

abc: 6.1047 6.1047 3.5433
angles: 90.00 90.00 90.00
Last column: nearest neighbours and their distance in Å.
Element x y z (fractional)
Ac 0.0000 0.0000 0.0000  8 Bi 3.53, 2 Ac 3.54
Pu 0.5000 0.5000 0.0000  8 Bi 3.53, 2 Pu 3.54
Bi 0.0000 0.5000 0.5000  4 Pu 3.53, 4 Ac 3.53, 2 Bi 3.54
Bi 0.5000 0.0000 0.5000  4 Pu 3.53, 4 Ac 3.53, 2 Bi 3.54

=====

Record 4
The following is a DFT calculation (PBE) of SbOsN2F after structural relaxation.

**Energy relative to the elements, uncorrected**: 1.484 eV per atom
**Density of states at the Fermi level**: 4.84 states/eV per cell

abc: 4.1284 4.1284 3.9960
angles: 90.00 90.00 90.00
Last column: nearest neighbours and their distance in Å.
Element x y z (fractional)
Sb 0.0000 0.0000 0.0000  2 F 2.00, 4 N 2.06
Os 0.5000 0.5000 0.5000  8 N 2.87, 4 F 2.92
N 0.0000 0.5000 0.0000  2 Sb 2.06
N 0.5000 0.0000 0.0000  2 Sb 2.06
F 0.0000 0.0000 0.5000  2 Sb 2.00

=====

Record 5
The following is a DFT calculation (PBE) of CrTeIr4 after structural relaxation.

**Energy relative to the elements, uncorrected**: 0.525 eV per atom
**Density of states at the Fermi level**: 9.27 states/eV per cell

abc: 5.2612 5.2612 5.2612
angles: 60.00 60.00 60.00
Last column: nearest neighbours and their distance in Å.
Element x y z (fractional)
Cr 0.0000 0.0000 0.0000  12 Ir 3.08, 4 Te 3.22
Te 0.2500 0.2500 0.2500  12 Ir 3.09, 4 Cr 3.22
Ir 0.1234 0.6255 0.6255  6 Ir 2.62-2.64
Ir 0.6255 0.1234 0.6255  6 Ir 2.62-2.64
Ir 0.6255 0.6255 0.1234  6 Ir 2.62-2.64
Ir 0.6255 0.6255 0.6255  6 Ir 2.62-2.64

=====

Record 6
The following is a DFT calculation (PBE) of CeNp3Se4 after structural relaxation.

**Energy relative to the elements, uncorrected**: -1.256 eV per atom
**Density of states at the Fermi level**: 24.09 states/eV per cell

abc: 7.1467 7.1467 4.1306
angles: 90.00 90.00 109.51
Last column: nearest neighbours and their distance in Å.
Element x y z (fractional)
Ce 0.0000 0.0000 0.0000  6 Se 2.96
Np 0.0000 0.5000 0.5000  6 Se 2.92
Np 0.5000 0.0000 0.5000  6 Se 2.92
Np 0.5000 0.5000 0.0000  6 Se 2.87-2.88
Se 0.2538 0.7462 0.0000  5 Np 2.87-2.92, 1 Ce 2.96
Se 0.2567 0.2567 0.5000  4 Np 2.88-2.92, 2 Ce 2.96
Se 0.7433 0.7433 0.5000  4 Np 2.88-2.92, 2 Ce 2.96
Se 0.7462 0.2538 0.0000  5 Np 2.87-2.92, 1 Ce 2.96

=====

Record 7
The following is a DFT calculation (PBE) of Be3SiPb after structural relaxation.

**Energy relative to the elements, uncorrected**: 0.807 eV per atom
**Density of states at the Fermi level**: 1.91 states/eV per cell

abc: 4.3683 4.3683 4.3683
angles: 90.00 90.00 90.00
Last column: nearest neighbours and their distance in Å.
Element x y z (fractional)
Be 0.0000 0.0000 0.5000  2 Si 2.18
Be 0.0000 0.5000 0.0000  2 Si 2.18
Be 0.5000 0.0000 0.0000  2 Si 2.18
Si 0.0000 0.0000 0.0000  6 Be 2.18
Pb 0.5000 0.5000 0.5000  12 Be 3.09

=====

Record 8
The following is a DFT calculation (PBE) of Rb3HgAs after structural relaxation.

**Energy of formation from the pure elements**: -0.153 eV/atom
**Density of states at the Fermi level**: 6.11 states/eV per cell

abc: 6.7930 6.7930 6.7930
angles: 90.00 90.00 90.00
Last column: nearest neighbours and their distance in Å.
Element x y z (fractional)
Rb 0.0000 0.0000 0.5000  2 As 3.40
Rb 0.0000 0.5000 0.0000  2 As 3.40
Rb 0.5000 0.0000 0.0000  2 As 3.40
Hg 0.5000 0.5000 0.5000  12 Rb 4.80
As 0.0000 0.0000 0.0000  6 Rb 3.40

=====

Record 9
The following is a DFT calculation (PBE) of Sm8Zn2Ru after structural relaxation.

**Energy of formation from the pure elements**: -0.044 eV/atom
**Density of states at the Fermi level**: 9.48 states/eV per cell

abc: 8.6876 8.6876 4.9628
angles: 106.53 106.53 59.02
Last column: nearest neighbours and their distance in Å.
Element x y z (fractional)
Sm 0.0688 0.6175 0.3429  3 Zn 3.14-3.20, 1 Ru 3.25, 4 Sm 3.38-3.46
Sm 0.1653 0.8347 0.0000  1 Sm 2.83, 2 Zn 3.15
Sm 0.3792 0.3792 0.8780  2 Ru 3.02-3.03, 2 Sm 3.34
Sm 0.3825 0.9312 0.6571  3 Zn 3.14-3.20, 1 Ru 3.25, 4 Sm 3.38-3.46
Sm 0.6175 0.0688 0.3429  3 Zn 3.14-3.20, 1 Ru 3.25, 4 Sm 3.38-3.46
Sm 0.6208 0.6208 0.1220  2 Ru 3.02-3.03, 2 Sm 3.34
Sm 0.8347 0.1653 0.0000  1 Sm 2.83, 2 Zn 3.15
Sm 0.9312 0.3825 0.6571  3 Zn 3.14-3.20, 1 Ru 3.25, 4 Sm 3.38-3.46
Zn 0.1973 0.1973 0.1976  8 Sm 3.14-3.20
Zn 0.8027 0.8027 0.8024  8 Sm 3.14-3.20
Ru 0.5000 0.5000 0.5000  8 Sm 3.02-3.25

=====

Record 10
The following is a DFT calculation (PBE) of Nd2NF2 after structural relaxation.

**Energy relative to the elements, uncorrected**: -2.682 eV per atom
**Density of states at the Fermi level**: 2.05 states/eV per cell

abc: 3.6421 3.6421 8.2940
angles: 103.40 103.40 59.95
Last column: nearest neighbours and their distance in Å.
Element x y z (fractional)
Nd 0.1044 0.1044 0.3235  3 F 2.46, 3 N 2.53
Nd 0.8956 0.8956 0.6765  3 F 2.46, 3 N 2.53
N 0.5000 0.5000 0.5000  6 Nd 2.53
F 0.2847 0.2847 0.8365  3 Nd 2.46
F 0.7153 0.7153 0.1635  3 Nd 2.46

=====

Record 11
The following is a DFT calculation (PBE) of NaCoN after structural relaxation.

**Energy relative to the elements, uncorrected**: 0.028 eV per atom
**Density of states at the Fermi level**: 2.82 states/eV per cell

abc: 3.2953 3.2953 8.3275
angles: 90.00 90.00 90.00
Last column: nearest neighbours and their distance in Å.
Element x y z (fractional)
Na 0.2500 0.2500 0.1952  4 N 2.78, 4 Co 3.03
Na 0.7500 0.7500 0.8048  4 N 2.78, 4 Co 3.03
Co 0.2500 0.7500 0.5000  4 N 1.94
Co 0.7500 0.2500 0.5000  4 N 1.94
N 0.2500 0.2500 0.6233  4 Co 1.94
N 0.7500 0.7500 0.3767  4 Co 1.94

=====

Record 12
The following is a DFT calculation (PBE) of Ba6Na2Ag after structural relaxation.

**Energy of formation from the pure elements**: -0.021 eV/atom
**Density of states at the Fermi level**: 19.13 states/eV per cell

abc: 8.0621 9.9152 14.6530
angles: 90.00 122.43 90.00
Last column: nearest neighbours and their distance in Å.
Element x y z (fractional)
Ba 0.0913 0.1876 0.4484  1 Ag 3.36
Ba 0.0913 0.3124 0.9484  1 Ag 3.36
Ba 0.3043 0.6794 0.4504  1 Ag 3.41
Ba 0.3043 0.8206 0.9504  1 Ag 3.41
Ba 0.3797 0.0255 0.2565  1 Ag 3.35
Ba 0.3797 0.4745 0.7565  1 Ag 3.35
Ba 0.6203 0.5255 0.2435  1 Ag 3.35
Ba 0.6203 0.9745 0.7435  1 Ag 3.35
Ba 0.6957 0.1794 0.0496  1 Ag 3.41
Ba 0.6957 0.3206 0.5496  1 Ag 3.41
Ba 0.9087 0.6876 0.0516  1 Ag 3.36
Ba 0.9087 0.8124 0.5516  1 Ag 3.36
Na 0.1613 0.1114 0.7469  8 Ba 3.85-4.27
Na 0.1613 0.3886 0.2469  8 Ba 3.85-4.27
Na 0.8387 0.6114 0.7531  8 Ba 3.85-4.27
Na 0.8387 0.8886 0.2531  8 Ba 3.85-4.27
Ag 0.0000 0.0000 0.0000  6 Ba 3.35-3.41
Ag 0.0000 0.5000 0.5000  6 Ba 3.35-3.41

=====

Record 13
The following is a DFT calculation (PBE) of BeCu2 after structural relaxation.

**Energy of formation from the pure elements**: 0.018 eV/atom
**Density of states at the Fermi level**: 1.16 states/eV per cell

abc: 2.5292 2.5292 5.8246
angles: 90.00 90.00 120.00
Last column: nearest neighbours and their distance in Å.
Element x y z (fractional)
Be 0.0000 0.0000 0.0000  6 Cu 2.35, 6 Be 2.53
Cu 0.3333 0.6667 0.3153  3 Be 2.35, 9 Cu 2.53-2.60
Cu 0.6667 0.3333 0.6847  3 Be 2.35, 9 Cu 2.53-2.60

=====

Record 14
The following is a DFT calculation (PBE) of Dy2Si3Ni after structural relaxation.

**Energy relative to the elements, uncorrected**: -0.686 eV per atom
**Density of states at the Fermi level**: 8.11 states/eV per cell

abc: 4.0055 4.0055 8.0049
angles: 90.00 90.00 120.00
Last column: nearest neighbours and their distance in Å.
Element x y z (fractional)
Dy 0.0000 0.0000 0.2437  3 Ni 3.03, 9 Si 3.03-3.09
Dy 0.0000 0.0000 0.7563  3 Ni 3.03, 9 Si 3.03-3.09
Si 0.3333 0.6667 0.5000  3 Si 2.31
Si 0.6667 0.3333 0.0000  3 Ni 2.31
Si 0.6667 0.3333 0.5000  3 Si 2.31
Ni 0.3333 0.6667 0.0000  3 Si 2.31

=====

Record 15
The following is a DFT calculation (PBE) of KYMn2As after structural relaxation.

**Energy of formation from the pure elements**: 2.112 eV/atom
**Density of states at the Fermi level**: 8.80 states/eV per cell

abc: 4.2455 4.2455 5.3247
angles: 90.00 90.00 90.00
Last column: nearest neighbours and their distance in Å.
Element x y z (fractional)
K 0.0000 0.0000 0.0000  4 Mn 2.12
Y 0.0000 0.0000 0.5000  2 K 2.66
Mn 0.0000 0.5000 0.0000  2 K 2.12
Mn 0.5000 0.0000 0.0000  2 K 2.12
As 0.5000 0.5000 0.5000  4 Y 3.00

=====

Record 16
The following is a DFT calculation (PBE) of CsTiTl2I8 after structural relaxation.

**Energy relative to the elements, uncorrected**: -0.723 eV per atom
**Density of states at the Fermi level**: 1.74 states/eV per cell

abc: 6.8421 7.8562 10.9648
angles: 89.93 89.78 89.09
Last column: nearest neighbours and their distance in Å.
Element x y z (fractional)
Cs 0.0000 0.0000 0.0000  8 I 3.99-4.34
Ti 0.0000 0.0000 0.5000  6 I 2.76-2.78
Tl 0.4975 0.5001 0.2843  6 I 3.43-3.57
Tl 0.5025 0.4999 0.7157  6 I 3.43-3.57
I 0.2075 0.6926 0.5017  1 Ti 2.78
I 0.2382 0.1263 0.6800  1 Ti 2.76
I 0.2407 0.1232 0.3186  1 Ti 2.76
I 0.2454 0.5063 0.9999  2 I 3.36-3.48, 2 Tl 3.57
I 0.7546 0.4937 0.0001  2 I 3.36-3.48, 2 Tl 3.57
I 0.7593 0.8768 0.6814  1 Ti 2.76
I 0.7618 0.8737 0.3200  1 Ti 2.76
I 0.7925 0.3074 0.4983  1 Ti 2.78

=====

Record 17
The following is a DFT calculation (PBE) of NdGeAu after structural relaxation.

**Energy of formation from the pure elements**: -0.547 eV/atom
**Density of states at the Fermi level**: 3.95 states/eV per cell

abc: 5.1894 5.1894 6.2384
angles: 105.22 105.22 66.34
Last column: nearest neighbours and their distance in Å.
Element x y z (fractional)
Nd 0.0000 0.0000 0.0000  4 Ge 3.06-3.24, 4 Au 3.08-3.24
Nd 0.5009 0.5009 0.5006  4 Ge 3.06-3.24, 4 Au 3.08-3.24
Ge 0.3407 0.3407 0.9560  2 Au 2.56-2.62
Ge 0.8413 0.8413 0.4555  2 Au 2.56-2.62
Au 0.1573 0.1573 0.5452  2 Ge 2.56-2.62
Au 0.6565 0.6565 0.0453  2 Ge 2.56-2.62

=====

Record 18
The following is a DFT calculation (PBE) of KInAs after structural relaxation.

**Energy of formation from the pure elements**: -0.104 eV/atom
**Density of states at the Fermi level**: 2.20 states/eV per cell

abc: 5.2895 5.2895 3.3714
angles: 90.00 90.00 120.00
Last column: nearest neighbours and their distance in Å.
Element x y z (fractional)
K 0.0000 0.0000 0.0000  2 K 3.37, 6 As 3.49, 6 In 3.49
In 0.3333 0.6667 0.5011  3 As 3.05, 2 In 3.37
As 0.6667 0.3333 0.4987  3 In 3.05, 2 As 3.37

=====

Record 19
The following is a DFT calculation (PBE) of LiDy2Rh after structural relaxation.

**Energy of formation from the pure elements**: -0.350 eV/atom
**Density of states at the Fermi level**: 1.57 states/eV per cell

abc: 8.3714 8.3714 8.3714
angles: 27.58 27.58 27.58
Last column: nearest neighbours and their distance in Å.
Element x y z (fractional)
Li 0.0000 0.0000 0.0000  6 Dy 3.38-3.48
Dy 0.2308 0.2308 0.2308  3 Rh 2.73
Dy 0.4415 0.4415 0.4415  3 Rh 2.75
Rh 0.8367 0.8367 0.8367  6 Dy 2.73-2.75

=====

Record 20
The following is a DFT calculation (PBE) of NiMo3 after structural relaxation.

**Energy of formation from the pure elements**: 0.206 eV/atom
**Density of states at the Fermi level**: 3.09 states/eV per cell

abc: 2.6021 4.5277 5.0511
angles: 90.00 90.00 90.00
Last column: nearest neighbours and their distance in Å.
Element x y z (fractional)
Ni 0.0000 0.0000 0.0000  2 Ni 2.60, 8 Mo 2.74-2.76
Mo 0.0000 0.5000 0.3110  10 Mo 2.60-2.90, 2 Ni 2.76
Mo 0.5000 0.0000 0.5232  8 Mo 2.60-2.82, 2 Ni 2.74
Mo 0.5000 0.5000 0.8241  8 Mo 2.60-2.90, 4 Ni 2.76

=====

Record 21
The following is a DFT calculation (PBE) of HfZr2Pd3 after structural relaxation.

**Energy of formation from the pure elements**: -0.390 eV/atom
**Density of states at the Fermi level**: 12.15 states/eV per cell

abc: 7.2040 7.2040 5.5233
angles: 90.00 90.00 60.16
Last column: nearest neighbours and their distance in Å.
Element x y z (fractional)
Hf 0.1707 0.8293 0.7500  6 Pd 2.74-2.75
Hf 0.8293 0.1707 0.2500  6 Pd 2.74-2.75
Zr 0.1661 0.4967 0.2500  6 Pd 2.78-2.79
Zr 0.4967 0.1661 0.7500  6 Pd 2.78-2.79
Zr 0.5033 0.8339 0.2500  6 Pd 2.78-2.79
Zr 0.8339 0.5033 0.7500  6 Pd 2.78-2.79
Pd 0.1620 0.1620 0.0000  2 Hf 2.74, 2 Pd 2.76, 4 Zr 2.78-2.79
Pd 0.1620 0.1620 0.5000  2 Hf 2.74, 2 Pd 2.76, 4 Zr 2.78-2.79
Pd 0.5000 0.5000 0.0000  2 Hf 2.75, 2 Pd 2.76, 4 Zr 2.78
Pd 0.5000 0.5000 0.5000  2 Hf 2.75, 2 Pd 2.76, 4 Zr 2.78
Pd 0.8380 0.8380 0.0000  2 Hf 2.74, 2 Pd 2.76, 4 Zr 2.78-2.79
Pd 0.8380 0.8380 0.5000  2 Hf 2.74, 2 Pd 2.76, 4 Zr 2.78-2.79